# PmPr5Dy2Y (GGA-PBE, relaxed)
# * calculated total energy: -4.7801 eV/atom
# * spin magnetization: 0.0 μB/cell
data_PmPr5Dy2Y
_chemical_formula_sum 'Pm4 Pr20 Dy8 Y4'
_cell_length_a 5.704
_cell_length_b 20.720
_cell_length_c 10.782
_cell_angle_alpha 90.00
_cell_angle_beta 90.00
_cell_angle_gamma 90.00
_space_group_name_H-M_alt 'C m c 21'
_space_group_IT_number 36
_space_group_name_Hall 'C 2c -2'
loop_
_atom_site_label
_atom_site_fract_x
_atom_site_fract_y
_atom_site_fract_z
Pm1 0.000 0.201 0.000
Pr1 0.000 0.015 0.009
Pr2 0.000 0.279 0.301
Pr3 0.000 0.295 0.694
Pr4 0.000 0.388 0.015
Pr5 0.000 0.481 0.735
Dy1 0.000 0.112 0.729
Dy2 0.000 0.116 0.302
Y1 0.000 0.408 0.452

=====

# TaFePd (GGA-PBE, relaxed)
# * energy relative to the lowest polymorph listed for this composition: 643 meV per atom
# * spin magnetization: 4.6 μB/cell
data_TaFePd
_chemical_formula_sum 'Ta2 Fe2 Pd2'
_cell_length_a 2.720
_cell_length_b 2.720
_cell_length_c 14.034
_cell_angle_alpha 90.00
_cell_angle_beta 90.00
_cell_angle_gamma 90.00
_space_group_name_H-M_alt 'I 4 m m'
_space_group_IT_number 107
_space_group_name_Hall 'I 4 -2'
loop_
_atom_site_label
_atom_site_fract_x
_atom_site_fract_y
_atom_site_fract_z
Ta1 0.000 0.000 0.000
Fe1 0.000 0.000 0.825
Pd1 0.000 0.000 0.645

=====

# NaSbTe2Se (GGA-PBE, relaxed)
# * E_form (uncorrected): 0.816 eV per atom
# * energy relative to the lowest polymorph listed for this composition: 659 meV per atom
# * spin magnetization: 0.0 μB/cell
data_NaSbTe2Se
_chemical_formula_sum 'Na1 Sb1 Te2 Se1'
_cell_length_a 5.369
_cell_length_b 5.369
_cell_length_c 5.529
_cell_angle_alpha 90.00
_cell_angle_beta 90.00
_cell_angle_gamma 90.00
_space_group_name_H-M_alt 'P 4/m m m'
_space_group_IT_number 123
_space_group_name_Hall '-P 4 2'
loop_
_atom_site_label
_atom_site_fract_x
_atom_site_fract_y
_atom_site_fract_z
Na1 0.000 0.000 0.000
Sb1 0.000 0.000 0.500
Te1 0.000 0.500 0.000
Se1 0.500 0.500 0.500

=====

# MnAlP2Cl (GGA-PBE, relaxed)
# * E_form (uncorrected): 0.269 eV per atom
# * energy relative to the lowest polymorph listed for this composition: 0 meV per atom
# * spin magnetization: 1.1 μB/cell
data_MnAlP2Cl
_chemical_formula_sum 'Mn1 Al1 P2 Cl1'
_cell_length_a 4.317
_cell_length_b 4.317
_cell_length_c 5.273
_cell_angle_alpha 90.00
_cell_angle_beta 90.00
_cell_angle_gamma 90.00
_space_group_name_H-M_alt 'P 4/m m m'
_space_group_IT_number 123
_space_group_name_Hall '-P 4 2'
loop_
_atom_site_label
_atom_site_fract_x
_atom_site_fract_y
_atom_site_fract_z
Mn1 0.000 0.000 0.000
Al1 0.500 0.500 0.500
P1 0.000 0.500 0.000
Cl1 0.000 0.000 0.500

=====

# LaSn2BiIr (GGA-PBE, relaxed)
# * calculated total energy: -5.5649 eV/atom
# * spin magnetization: 0.0 μB/cell
data_LaSn2BiIr
_chemical_formula_sum 'La1 Sn2 Bi1 Ir1'
_cell_length_a 5.171
_cell_length_b 5.171
_cell_length_c 5.513
_cell_angle_alpha 90.00
_cell_angle_beta 90.00
_cell_angle_gamma 90.00
_space_group_name_H-M_alt 'P 4/m m m'
_space_group_IT_number 123
_space_group_name_Hall '-P 4 2'
loop_
_atom_site_label
_atom_site_fract_x
_atom_site_fract_y
_atom_site_fract_z
La1 0.000 0.000 0.000
Sn1 0.000 0.500 0.500
Bi1 0.500 0.500 0.000
Ir1 0.000 0.000 0.500

=====

# Hf2Zr2Ti3 (GGA-PBE, relaxed)
# * calculated total energy: -8.5965 eV/atom
# * spin magnetization: 0.0 μB/cell
data_Hf2Zr2Ti3
_chemical_formula_sum 'Hf4 Zr4 Ti6'
_cell_length_a 14.065
_cell_length_b 3.035
_cell_length_c 7.691
_cell_angle_alpha 90.00
_cell_angle_beta 119.26
_cell_angle_gamma 90.00
_space_group_name_H-M_alt 'C 1 2/m 1'
_space_group_IT_number 12
_space_group_name_Hall '-C 2y'
loop_
_atom_site_label
_atom_site_fract_x
_atom_site_fract_y
_atom_site_fract_z
Hf1 0.143 0.000 0.349
Zr1 0.081 0.500 0.930
Ti1 0.000 0.500 0.500
Ti2 0.201 0.000 0.764

=====

# PaTiHN3 (GGA-PBE, relaxed)
# * calculated total energy: -8.7818 eV/atom
# * spin magnetization: 0.0 μB/cell
data_PaTiHN3
_chemical_formula_sum 'Pa2 Ti2 H2 N6'
_cell_length_a 6.401
_cell_length_b 3.186
_cell_length_c 6.602
_cell_angle_alpha 90.00
_cell_angle_beta 105.16
_cell_angle_gamma 90.00
_space_group_name_H-M_alt 'P 1 21/m 1'
_space_group_IT_number 11
_space_group_name_Hall '-P 2yb'
loop_
_atom_site_label
_atom_site_fract_x
_atom_site_fract_y
_atom_site_fract_z
Pa1 0.191 0.250 0.231
Ti1 0.329 0.750 0.833
H1 0.050 0.750 0.477
N1 0.110 0.250 0.870
N2 0.219 0.750 0.507
N3 0.438 0.750 0.162

=====

# Fe2TcRh (GGA-PBE, relaxed)
# * energy relative to the lowest polymorph listed for this composition: 72 meV per atom
# * spin magnetization: 14.3 μB/cell
data_Fe2TcRh
_chemical_formula_sum 'Fe6 Tc3 Rh3'
_cell_length_a 2.7098
_cell_length_b 2.7098
_cell_length_c 25.0212
_cell_angle_alpha 90.00
_cell_angle_beta 90.00
_cell_angle_gamma 120.00
_space_group_name_H-M_alt 'R 3 m'
_space_group_IT_number 160
_space_group_name_Hall 'R 3 -2"'
loop_
_atom_site_label
_atom_site_fract_x
_atom_site_fract_y
_atom_site_fract_z
Fe1 0.0000 0.0000 0.0000
Fe2 0.0000 0.0000 0.2563
Tc1 0.0000 0.0000 0.5064
Rh1 0.0000 0.0000 0.7511

=====

# BeW (GGA-PBE, relaxed)
# * energy relative to the lowest polymorph listed for this composition: 637 meV per atom
# * spin magnetization: 0.0 μB/cell
data_BeW
_chemical_formula_sum 'Be2 W2'
_cell_length_a 2.7416
_cell_length_b 2.7416
_cell_length_c 8.1978
_cell_angle_alpha 90.00
_cell_angle_beta 90.00
_cell_angle_gamma 120.00
_space_group_name_H-M_alt 'P -3 m 1'
_space_group_IT_number 164
_space_group_name_Hall '-P 3 2"'
loop_
_atom_site_label
_atom_site_fract_x
_atom_site_fract_y
_atom_site_fract_z
Be1 0.3333 0.6667 0.1001
W1 0.3333 0.6667 0.6512

=====

# BeIr (GGA-PBE, relaxed)
# * calculated total energy: -6.6041 eV/atom
# * spin magnetization: 0.0 μB/cell
data_BeIr
_chemical_formula_sum 'Be2 Ir2'
_cell_length_a 2.792
_cell_length_b 4.451
_cell_length_c 3.802
_cell_angle_alpha 90.00
_cell_angle_beta 90.00
_cell_angle_gamma 90.00
_space_group_name_H-M_alt 'P m m n'
_space_group_IT_number 59
loop_
_space_group_symop_operation_xyz
'x,y,z'
'-x,-y,-z'
'-x+1/2,-y+1/2,z'
'x+1/2,y+1/2,-z'
'x+1/2,-y,-z'
'-x+1/2,y,z'
'-x,y+1/2,-z'
'x,-y+1/2,z'
loop_
_atom_site_label
_atom_site_fract_x
_atom_site_fract_y
_atom_site_fract_z
Be1 0.250 0.250 0.062
Ir1 0.250 0.750 0.432

=====

# HfSbRh2Br (GGA-PBE, relaxed)
# * E_form (uncorrected): 0.903 eV per atom
# * spin magnetization: 0.0 μB/cell
data_HfSbRh2Br
_chemical_formula_sum 'Hf1 Sb1 Rh2 Br1'
_cell_length_a 4.558
_cell_length_b 4.558
_cell_length_c 5.444
_cell_angle_alpha 90.00
_cell_angle_beta 90.00
_cell_angle_gamma 90.00
_space_group_name_H-M_alt 'P 4/m m m'
_space_group_IT_number 123
_space_group_name_Hall '-P 4 2'
loop_
_atom_site_label
_atom_site_fract_x
_atom_site_fract_y
_atom_site_fract_z
Hf1 0.000 0.000 0.000
Sb1 0.500 0.500 0.000
Rh1 0.000 0.500 0.500
Br1 0.500 0.500 0.500

=====

# Fe2AsPt (GGA-PBE, relaxed)
# * calculated total energy: -6.9438 eV/atom
# * spin magnetization: 11.5 μB/cell
data_Fe2AsPt
_chemical_formula_sum 'Fe4 As2 Pt2'
_cell_length_a 3.722
_cell_length_b 3.749
_cell_length_c 8.021
_cell_angle_alpha 90.00
_cell_angle_beta 90.00
_cell_angle_gamma 90.00
_space_group_name_H-M_alt 'I m m m'
_space_group_IT_number 71
_space_group_name_Hall '-I 2 2'
loop_
_atom_site_label
_atom_site_fract_x
_atom_site_fract_y
_atom_site_fract_z
Fe1 0.000 0.000 0.250
As1 0.000 0.500 0.000
Pt1 0.000 0.500 0.500

=====

# MgIn2P (GGA-PBE, relaxed)
# * energy relative to the lowest polymorph listed for this composition: 213 meV per atom
# * spin magnetization: 0.0 μB/cell
data_MgIn2P
_chemical_formula_sum 'Mg2 In4 P2'
_cell_length_a 4.467
_cell_length_b 4.467
_cell_length_c 8.875
_cell_angle_alpha 90.00
_cell_angle_beta 90.00
_cell_angle_gamma 90.00
_space_group_name_H-M_alt 'I -4 m 2'
_space_group_IT_number 119
_space_group_name_Hall 'I -4 -2'
loop_
_atom_site_label
_atom_site_fract_x
_atom_site_fract_y
_atom_site_fract_z
Mg1 0.000 0.000 0.000
In1 0.000 0.000 0.500
In2 0.000 0.500 0.250
P1 0.000 0.500 0.750

=====

# Na4AgHg5 (GGA-PBE, relaxed)
# * calculated total energy: -1.1510 eV/atom
# * spin magnetization: 0.0 μB/cell
data_Na4AgHg5
_chemical_formula_sum 'Na4 Ag1 Hg5'
_cell_length_a 3.720
_cell_length_b 3.720
_cell_length_c 17.753
_cell_angle_alpha 90.00
_cell_angle_beta 90.00
_cell_angle_gamma 90.00
_space_group_name_H-M_alt 'P 4/m m m'
_space_group_IT_number 123
_space_group_name_Hall '-P 4 2'
loop_
_atom_site_label
_atom_site_fract_x
_atom_site_fract_y
_atom_site_fract_z
Na1 0.000 0.000 0.104
Na2 0.000 0.000 0.312
Ag1 0.000 0.000 0.500
Hg1 0.500 0.500 0.000
Hg2 0.500 0.500 0.206
Hg3 0.500 0.500 0.411

=====

# Dy2Tm15Sc2 (GGA-PBE, relaxed)
# * calculated total energy: -4.3856 eV/atom
# * spin magnetization: 0.9 μB/cell
data_Dy2Tm15Sc2
_chemical_formula_sum 'Dy6 Tm45 Sc6'
_cell_length_a 10.9409
_cell_length_b 10.9409
_cell_length_c 17.2513
_cell_angle_alpha 90.00
_cell_angle_beta 90.00
_cell_angle_gamma 120.00
_space_group_name_H-M_alt 'R -3 m'
_space_group_IT_number 166
_space_group_name_Hall '-R 3 2"'
loop_
_atom_site_label
_atom_site_fract_x
_atom_site_fract_y
_atom_site_fract_z
Dy1 0.0000 0.0000 0.1780
Tm1 0.0000 0.2964 0.5000
Tm2 0.0000 0.5000 0.0000
Tm3 0.0057 0.5028 0.6381
Sc1 0.0000 0.0000 0.4083

=====

# CdNi2SnPt (GGA-PBE, relaxed)
# * calculated total energy: -3.8619 eV/atom
# * spin magnetization: 1.8 μB/cell
data_CdNi2SnPt
_chemical_formula_sum 'Cd1 Ni2 Sn1 Pt1'
_cell_length_a 4.767
_cell_length_b 4.767
_cell_length_c 4.987
_cell_angle_alpha 90.00
_cell_angle_beta 90.00
_cell_angle_gamma 90.00
_space_group_name_H-M_alt 'P 4/m m m'
_space_group_IT_number 123
_space_group_name_Hall '-P 4 2'
loop_
_atom_site_label
_atom_site_fract_x
_atom_site_fract_y
_atom_site_fract_z
Cd1 0.000 0.000 0.000
Ni1 0.000 0.500 0.500
Sn1 0.500 0.500 0.000
Pt1 0.500 0.500 0.500

=====

# Cr2NiPb (GGA-PBE, relaxed)
# * calculated total energy: -6.3588 eV/atom
# * spin magnetization: 30.6 μB/cell
data_Cr2NiPb
_chemical_formula_sum 'Cr8 Ni4 Pb4'
_cell_length_a 7.212
_cell_length_b 7.212
_cell_length_c 5.600
_cell_angle_alpha 90.00
_cell_angle_beta 90.00
_cell_angle_gamma 90.00
_space_group_name_H-M_alt 'I -4 2 d'
_space_group_IT_number 122
_space_group_name_Hall 'I -4 2bw'
loop_
_atom_site_label
_atom_site_fract_x
_atom_site_fract_y
_atom_site_fract_z
Cr1 0.202 0.250 0.125
Ni1 0.000 0.000 0.000
Pb1 0.000 0.000 0.500

=====

# Y2LuOs (GGA-PBE, relaxed)
# * calculated total energy: -6.8609 eV/atom
# * spin magnetization: 0.0 μB/cell
data_Y2LuOs
_chemical_formula_sum 'Y6 Lu3 Os3'
_cell_length_a 3.4176
_cell_length_b 3.4176
_cell_length_c 32.2809
_cell_angle_alpha 90.00
_cell_angle_beta 90.00
_cell_angle_gamma 120.00
_space_group_name_H-M_alt 'R -3 m'
_space_group_IT_number 166
_space_group_name_Hall '-R 3 2"'
loop_
_atom_site_label
_atom_site_fract_x
_atom_site_fract_y
_atom_site_fract_z
Y1 0.0000 0.0000 0.1037
Lu1 0.0000 0.0000 0.0000
Os1 0.0000 0.0000 0.5000

=====

# CaIn6Rh3 (GGA-PBE, relaxed)
# * calculated total energy: -4.3972 eV/atom
# * spin magnetization: 0.0 μB/cell
data_CaIn6Rh3
_chemical_formula_sum 'Ca2 In12 Rh6'
_cell_length_a 9.177
_cell_length_b 4.455
_cell_length_c 10.650
_cell_angle_alpha 90.00
_cell_angle_beta 93.00
_cell_angle_gamma 90.00
_space_group_name_H-M_alt 'P 1 21/m 1'
_space_group_IT_number 11
_space_group_name_Hall '-P 2yb'
loop_
_atom_site_label
_atom_site_fract_x
_atom_site_fract_y
_atom_site_fract_z
Ca1 0.102 0.250 0.247
In1 0.083 0.250 0.926
In2 0.121 0.750 0.499
In3 0.259 0.750 0.783
In4 0.347 0.750 0.275
In5 0.371 0.250 0.554
In6 0.418 0.250 0.071
Rh1 0.117 0.250 0.666
Rh2 0.228 0.750 0.035
Rh3 0.492 0.250 0.331

=====

# BaAl2I (GGA-PBE, relaxed)
# * E_form (uncorrected): 0.227 eV per atom
# * energy relative to the lowest polymorph listed for this composition: 128 meV per atom
# * spin magnetization: 0.0 μB/cell
data_BaAl2I
_chemical_formula_sum 'Ba4 Al8 I4'
_cell_length_a 8.036
_cell_length_b 8.036
_cell_length_c 8.036
_cell_angle_alpha 90.00
_cell_angle_beta 90.00
_cell_angle_gamma 90.00
_space_group_name_H-M_alt 'F m -3 m'
_space_group_IT_number 225
_space_group_name_Hall '-F 4 2 3'
loop_
_atom_site_label
_atom_site_fract_x
_atom_site_fract_y
_atom_site_fract_z
Ba1 0.000 0.000 0.000
Al1 0.250 0.250 0.250
I1 0.000 0.000 0.500